[1]
A plane-wave DFT calculation with GGA-PBE was carried out for a relaxed CaHoHg6 crystal.

Density of states at the Fermi level   5.26 states/eV/cell
Space group   Amm2 (38)
Energy of formation   -0.355 eV per atom

abc: 5.130 6.625 6.625
angles: 119.82 90.00 90.00
Atoms (fractional coordinates):
Hg 0.000 0.075 0.412
Ho 0.000 0.085 0.915
Hg 0.500 0.916 0.584
Hg 0.500 0.416 0.084
Hg 0.000 0.588 0.925
Hg 0.000 0.586 0.414
Ca 0.500 0.415 0.585
Hg 0.500 0.919 0.081

***

[2]
A plane-wave DFT calculation with GGA-PBE was carried out for a relaxed CaHo5Hg6 crystal.

Density of states at the Fermi level   8.52 states/eV/cell
Space group   Cmmm (65)
Energy of formation   -0.498 eV per atom

abc: 5.255 7.404 8.325
angles: 90.00 71.60 90.00
Atoms (fractional coordinates):
Ho 0.665 0.500 0.669
Hg 0.831 0.746 0.338
Hg 0.831 0.254 0.338
Hg 0.169 0.746 0.662
Hg 0.500 0.257 0.000
Ho 0.000 0.500 0.000
Hg 0.500 0.743 0.000
Ho 0.335 0.000 0.331
Ho 0.335 0.500 0.331
Ca 0.000 0.000 0.000
Ho 0.665 0.000 0.669
Hg 0.169 0.254 0.662

***

What did the second record say?
A plane-wave DFT calculation with GGA-PBE was carried out for a relaxed CaHo5Hg6 crystal.

Density of states at the Fermi level   8.52 states/eV/cell
Space group   Cmmm (65)
Energy of formation   -0.498 eV per atom

abc: 5.255 7.404 8.325
angles: 90.00 71.60 90.00
Atoms (fractional coordinates):
Ho 0.665 0.500 0.669
Hg 0.831 0.746 0.338
Hg 0.831 0.254 0.338
Hg 0.169 0.746 0.662
Hg 0.500 0.257 0.000
Ho 0.000 0.500 0.000
Hg 0.500 0.743 0.000
Ho 0.335 0.000 0.331
Ho 0.335 0.500 0.331
Ca 0.000 0.000 0.000
Ho 0.665 0.000 0.669
Hg 0.169 0.254 0.662

***

What did the first record say?
A plane-wave DFT calculation with GGA-PBE was carried out for a relaxed CaHoHg6 crystal.

Density of states at the Fermi level   5.26 states/eV/cell
Space group   Amm2 (38)
Energy of formation   -0.355 eV per atom

abc: 5.130 6.625 6.625
angles: 119.82 90.00 90.00
Atoms (fractional coordinates):
Hg 0.000 0.075 0.412
Ho 0.000 0.085 0.915
Hg 0.500 0.916 0.584
Hg 0.500 0.416 0.084
Hg 0.000 0.588 0.925
Hg 0.000 0.586 0.414
Ca 0.500 0.415 0.585
Hg 0.500 0.919 0.081

***

Which of these has the highest density of states at the Fermi level? CaHo5Hg6

***

The highest density of states at the Fermi level belongs to which entry? CaHo5Hg6